Entry 1:
Na2ZrCdS4 after structural relaxation, computed with PBE-GGA.

CIF file:
```
data_Na2ZrCdS4
_cell_length_a 6.7967
_cell_length_b 3.8238
_cell_length_c 7.0238
_cell_angle_alpha 90.00
_cell_angle_beta 109.55
_cell_angle_gamma 90.00
_symmetry_space_group_name_H-M 'P 1 2/m 1'
_symmetry_Int_Tables_number 10
_symmetry_space_group_name_Hall '-P 2y'
loop_
_atom_site_label
_atom_site_type_symbol
_atom_site_fract_x
_atom_site_fract_y
_atom_site_fract_z
_atom_site_occupancy
Na1 Na 0.0000 0.0000 0.0000 1
Na2 Na 0.5000 0.5000 0.0000 1
Zr1 Zr 0.0000 0.5000 0.5000 1
Cd1 Cd 0.5000 0.0000 0.5000 1
S1 S 0.2208 0.0000 0.7263 1
S2 S 0.2465 0.5000 0.2853 1
```

Results
- Calculated volume: 21.5 Å³/atom
- E_form (uncorrected): -1.190 eV per atom

***

Entry 2:
SrTcO3 after structural relaxation, computed with PBE-GGA.

CIF file:
```
data_SrTcO3
_cell_length_a 3.6494
_cell_length_b 3.6494
_cell_length_c 12.8187
_cell_angle_alpha 90.00
_cell_angle_beta 90.00
_cell_angle_gamma 120.00
_symmetry_space_group_name_H-M 'P 63/m m c'
_symmetry_Int_Tables_number 194
_symmetry_space_group_name_Hall '-P 6c 2c'
loop_
_atom_site_label
_atom_site_type_symbol
_atom_site_fract_x
_atom_site_fract_y
_atom_site_fract_z
_atom_site_occupancy
Sr1 Sr 0.0000 0.0000 0.0000 1
Tc1 Tc 0.3333 0.6667 0.2500 1
O1 O 0.0000 0.0000 0.2500 1
O2 O 0.3333 0.6667 0.1007 1
```

Results
- Calculated volume: 14.8 Å³/atom
- E_form (uncorrected): -1.750 eV per atom

***

Copy entry 2 word for word.
SrTcO3 after structural relaxation, computed with PBE-GGA.

CIF file:
```
data_SrTcO3
_cell_length_a 3.6494
_cell_length_b 3.6494
_cell_length_c 12.8187
_cell_angle_alpha 90.00
_cell_angle_beta 90.00
_cell_angle_gamma 120.00
_symmetry_space_group_name_H-M 'P 63/m m c'
_symmetry_Int_Tables_number 194
_symmetry_space_group_name_Hall '-P 6c 2c'
loop_
_atom_site_label
_atom_site_type_symbol
_atom_site_fract_x
_atom_site_fract_y
_atom_site_fract_z
_atom_site_occupancy
Sr1 Sr 0.0000 0.0000 0.0000 1
Tc1 Tc 0.3333 0.6667 0.2500 1
O1 O 0.0000 0.0000 0.2500 1
O2 O 0.3333 0.6667 0.1007 1
```

Results
- Calculated volume: 14.8 Å³/atom
- E_form (uncorrected): -1.750 eV per atom